Entry 1:
# Na12Tl3Ga, optimized geometry, DFT PBE
# Theoretical density ... 3.32 g cm⁻³
# Energy ... -1.6683 eV per atom
# M_tot ... 0.00 μB per atom
data_Na12Tl3Ga
_chemical_formula_sum 'Na12 Tl3 Ga1'
_space_group_name_H-M_alt 'P 1'
_space_group_IT_number 1
_space_group_name_Hall 'P 1'
_cell_length_a 5.059
_cell_length_b 5.059
_cell_length_c 18.753
_cell_angle_alpha 90.00
_cell_angle_beta 90.00
_cell_angle_gamma 90.00
loop_
_atom_site_label
_atom_site_fract_x
_atom_site_fract_y
_atom_site_fract_z
Na1 0.000 0.500 0.116
Na2 0.500 0.000 0.372
Na3 0.500 0.500 0.756
Na4 0.000 0.500 0.884
Na5 0.000 0.500 0.628
Na6 0.500 0.000 0.884
Na7 0.500 0.500 0.000
Na8 0.000 0.500 0.372
Na9 0.500 0.000 0.116
Na10 0.500 0.000 0.628
Na11 0.500 0.500 0.500
Na12 0.500 0.500 0.244
Tl1 0.000 0.000 0.500
Tl2 0.000 0.000 0.756
Tl3 0.000 0.000 0.244
Ga1 0.000 0.000 0.000

Entry 2:
# NaTlGa, optimized geometry, DFT PBE
# Theoretical density ... 6.42 g cm⁻³
# M_tot ... 0.00 μB per atom
# Offset from the most stable computed form ... 34 meV/atom
data_NaTlGa
_chemical_formula_sum 'Na4 Tl4 Ga4'
_space_group_name_H-M_alt 'P 1'
_space_group_IT_number 1
_space_group_name_Hall 'P 1'
_cell_length_a 5.703
_cell_length_b 3.386
_cell_length_c 15.936
_cell_angle_alpha 90.00
_cell_angle_beta 93.04
_cell_angle_gamma 90.00
loop_
_atom_site_label
_atom_site_fract_x
_atom_site_fract_y
_atom_site_fract_z
Tl1 0.793 0.500 0.590
Tl2 0.996 0.000 0.433
Tl3 0.793 0.000 0.090
Tl4 0.996 0.500 0.933
Na1 0.484 0.500 0.405
Na2 0.949 0.500 0.258
Na3 0.484 0.000 0.905
Na4 0.949 0.000 0.758
Ga1 0.294 0.000 0.590
Ga2 0.294 0.500 0.090
Ga3 0.435 0.500 0.726
Ga4 0.435 0.000 0.226

Entry 3:
# Na2Tl2Ga, optimized geometry, DFT PBE
# Theoretical density ... 6.03 g cm⁻³
# M_tot ... 0.00 μB per atom
# Offset from the most stable computed form ... 43 meV/atom
data_Na2Tl2Ga
_chemical_formula_sum 'Na4 Tl4 Ga2'
_space_group_name_H-M_alt 'P 1'
_space_group_IT_number 1
_space_group_name_Hall 'P 1'
_cell_length_a 7.535
_cell_length_b 7.535
_cell_length_c 5.086
_cell_angle_alpha 90.00
_cell_angle_beta 90.00
_cell_angle_gamma 90.00
loop_
_atom_site_label
_atom_site_fract_x
_atom_site_fract_y
_atom_site_fract_z
Tl1 0.355 0.855 0.000
Tl2 0.145 0.355 0.000
Tl3 0.855 0.645 0.000
Tl4 0.645 0.145 0.000
Ga1 0.500 0.500 0.000
Ga2 0.000 0.000 0.000
Na1 0.833 0.333 0.500
Na2 0.333 0.167 0.500
Na3 0.667 0.833 0.500
Na4 0.167 0.667 0.500

Entry 4:
# NaTl3Ga3, optimized geometry, DFT PBE
# Theoretical density ... 5.73 g cm⁻³
# Energy ... -2.2388 eV per atom
# M_tot ... 0.00 μB per atom
data_NaTl3Ga3
_chemical_formula_sum 'Na2 Tl6 Ga6'
_space_group_name_H-M_alt 'P 1'
_space_group_IT_number 1
_space_group_name_Hall 'P 1'
_cell_length_a 7.881
_cell_length_b 7.881
_cell_length_c 7.881
_cell_angle_alpha 90.00
_cell_angle_beta 90.00
_cell_angle_gamma 90.00
loop_
_atom_site_label
_atom_site_fract_x
_atom_site_fract_y
_atom_site_fract_z
Ga1 0.500 0.000 0.750
Ga2 0.250 0.500 0.000
Ga3 0.500 0.000 0.250
Ga4 0.750 0.500 0.000
Ga5 0.000 0.250 0.500
Ga6 0.000 0.750 0.500
Tl1 0.000 0.500 0.250
Tl2 0.750 0.000 0.500
Tl3 0.000 0.500 0.750
Tl4 0.250 0.000 0.500
Tl5 0.500 0.750 0.000
Tl6 0.500 0.250 0.000
Na1 0.500 0.500 0.500
Na2 0.000 0.000 0.000

Entry 5:
# Na12Tl7Ga, optimized geometry, DFT PBE
# Theoretical density ... 4.95 g cm⁻³
# Energy ... -1.8406 eV per atom
# M_tot ... 0.00 μB per atom
data_Na12Tl7Ga
_chemical_formula_sum 'Na12 Tl7 Ga1'
_space_group_name_H-M_alt 'P 1'
_space_group_IT_number 1
_space_group_name_Hall 'P 1'
_cell_length_a 8.675
_cell_length_b 8.675
_cell_length_c 8.675
_cell_angle_alpha 102.76
_cell_angle_beta 102.76
_cell_angle_gamma 102.76
loop_
_atom_site_label
_atom_site_fract_x
_atom_site_fract_y
_atom_site_fract_z
Ga1 0.000 0.000 0.000
Na1 0.752 0.238 0.482
Na2 0.482 0.752 0.238
Na3 0.762 0.518 0.248
Na4 0.343 0.304 0.080
Na5 0.657 0.696 0.920
Na6 0.080 0.343 0.304
Na7 0.518 0.248 0.762
Na8 0.920 0.657 0.696
Na9 0.248 0.762 0.518
Na10 0.304 0.080 0.343
Na11 0.696 0.920 0.657
Na12 0.238 0.482 0.752
Tl1 0.079 0.686 0.110
Tl2 0.686 0.110 0.079
Tl3 0.890 0.921 0.314
Tl4 0.500 0.500 0.500
Tl5 0.314 0.890 0.921
Tl6 0.110 0.079 0.686
Tl7 0.921 0.314 0.890

Entry 6:
# Na3TlGa, optimized geometry, DFT PBE
# Theoretical density ... 3.59 g cm⁻³
# M_tot ... 0.00 μB per atom
# Offset from the most stable computed form ... 0 meV/atom
data_Na3TlGa
_chemical_formula_sum 'Na6 Tl2 Ga2'
_space_group_name_H-M_alt 'P 1'
_space_group_IT_number 1
_space_group_name_Hall 'P 1'
_cell_length_a 7.620
_cell_length_b 7.620
_cell_length_c 7.366
_cell_angle_alpha 107.76
_cell_angle_beta 118.32
_cell_angle_gamma 104.27
loop_
_atom_site_label
_atom_site_fract_x
_atom_site_fract_y
_atom_site_fract_z
Tl1 0.303 0.921 0.225
Tl2 0.697 0.079 0.775
Ga1 0.624 0.765 0.389
Ga2 0.376 0.235 0.611
Na1 0.727 0.447 0.174
Na2 0.151 0.975 0.751
Na3 0.849 0.025 0.249
Na4 0.224 0.400 0.249
Na5 0.273 0.553 0.826
Na6 0.776 0.600 0.751

Question: Among the records above, which one has the lowest theoretical density?
Answer: Na12Tl3Ga

Question: The lowest theoretical density belongs to which entry?
Answer: Na12Tl3Ga

Question: Number 2 is which compound?
Answer: NaTlGa